Record 1
# Ho2ZrGa2Rh5

A relaxed Ho2ZrGa2Rh5 crystal (PBE-GGA, Alexandria via LeMat-Bulk).

Total energy in eV/atom: -6.915
Space group: P4/mbm (127)

Unit cell a=3.562 b=9.916 c=9.916 alpha=90.00 beta=90.00 gamma=90.00
Element x y z (fractional)
Rh1 0.500 0.707 0.432
Rh2 0.500 0.932 0.207
Rh3 0.500 0.000 0.500
Rh4 0.500 0.500 0.000
Rh5 0.500 0.068 0.793
Rh6 0.500 0.207 0.068
Rh7 0.500 0.293 0.568
Rh8 0.500 0.568 0.707
Rh9 0.500 0.432 0.293
Rh10 0.500 0.793 0.932
Ga1 0.000 0.625 0.875
Ga2 0.000 0.125 0.625
Ga3 0.000 0.875 0.375
Ga4 0.000 0.375 0.125
Zr1 0.000 0.000 0.000
Zr2 0.000 0.500 0.500
Ho1 0.000 0.328 0.828
Ho2 0.000 0.828 0.672
Ho3 0.000 0.172 0.328
Ho4 0.000 0.672 0.172

=====

Record 2
# PrHoTe2I

A relaxed PrHoTe2I crystal (PBE-GGA, Alexandria via LeMat-Bulk).

Total energy in eV/atom: -4.588
Space group: P4/nmm (129)

Unit cell a=4.629 b=4.629 c=15.101 alpha=90.00 beta=90.00 gamma=90.00
Element x y z (fractional)
Ho1 0.500 0.000 0.087
Ho2 0.000 0.500 0.913
Pr1 0.500 0.000 0.656
Pr2 0.000 0.500 0.344
Te1 0.000 0.500 0.711
Te2 0.500 0.000 0.885
Te3 0.000 0.500 0.115
Te4 0.500 0.000 0.289
I1 0.000 0.000 0.500
I2 0.500 0.500 0.500

=====

Record 3
# Pr4Ho8Th

A relaxed Pr4Ho8Th crystal (PBE-GGA, Alexandria via LeMat-Bulk).

Total energy in eV/atom: -4.339
Space group: R-3m (166)

Unit cell a=7.817 b=7.817 c=7.817 alpha=90.13 beta=90.13 gamma=90.13
Site moments in Bohr magnetons follow the coordinates.
Element x y z (fractional)
Pr1 0.500 0.000 0.500  0.14
Pr2 0.000 0.000 0.000  -0.07
Pr3 0.500 0.500 0.000  0.14
Pr4 0.000 0.500 0.500  0.14
Th1 0.500 0.500 0.500  0.07
Ho1 0.241 0.241 0.758  0.07
Ho2 0.758 0.241 0.241  0.07
Ho3 0.759 0.759 0.759  0.07
Ho4 0.759 0.242 0.759  0.07
Ho5 0.241 0.241 0.241  0.07
Ho6 0.759 0.759 0.242  0.07
Ho7 0.242 0.759 0.759  0.07
Ho8 0.241 0.758 0.241  0.07

=====

Record 4
# CaCO3

A relaxed CaCO3 crystal (PBE-GGA, Alexandria via LeMat-Bulk).

Total energy in eV/atom: -7.480
Space group: P6_522 (179)

Unit cell a=7.276 b=7.276 c=25.547 alpha=90.00 beta=90.00 gamma=120.00
Element x y z (fractional)
O1 0.547 0.222 0.836
O2 0.325 0.547 0.669
O3 0.727 0.675 0.870
O4 0.965 0.672 0.052
O5 0.325 0.778 0.498
O6 0.992 0.604 0.378
O7 0.035 0.328 0.552
O8 0.000 0.873 0.333
O9 0.547 0.325 0.331
O10 0.396 0.008 0.122
O11 0.675 0.453 0.169
O12 0.675 0.727 0.130
O13 0.388 0.992 0.211
O14 0.873 0.873 0.500
O15 0.965 0.294 0.115
O16 0.328 0.035 0.448
O17 0.612 0.008 0.711
O18 0.672 0.965 0.948
O19 0.873 0.000 0.667
O20 0.008 0.612 0.289
O21 0.325 0.273 0.630
O22 0.388 0.396 0.955
O23 0.328 0.294 0.718
O24 0.052 0.325 0.463
O25 0.778 0.325 0.502
O26 0.273 0.325 0.370
O27 0.604 0.992 0.622
O28 0.273 0.948 0.796
O29 0.325 0.052 0.537
O30 0.612 0.604 0.455
O31 0.222 0.675 0.002
O32 0.672 0.706 0.218
O33 0.396 0.388 0.045
O34 0.948 0.273 0.204
O35 0.035 0.706 0.615
O36 0.675 0.222 0.998
O37 0.604 0.612 0.545
O38 0.294 0.328 0.282
O39 0.294 0.965 0.885
O40 0.052 0.727 0.704
O41 0.127 0.127 0.000
O42 0.453 0.778 0.336
O43 0.706 0.672 0.782
O44 0.127 0.000 0.167
O45 0.992 0.388 0.789
O46 0.675 0.948 0.037
O47 0.948 0.675 0.963
O48 0.000 0.127 0.833
O49 0.008 0.396 0.878
O50 0.706 0.035 0.385
O51 0.222 0.547 0.164
O52 0.778 0.453 0.664
O53 0.727 0.052 0.296
O54 0.453 0.675 0.831
Ca1 0.328 0.664 0.583
Ca2 0.623 0.311 0.583
Ca3 0.689 0.311 0.250
Ca4 0.664 0.336 0.750
Ca5 0.025 0.013 0.583
Ca6 0.987 0.975 0.917
Ca7 0.013 0.987 0.750
Ca8 0.311 0.623 0.417
Ca9 0.987 0.013 0.250
Ca10 0.336 0.672 0.917
Ca11 0.336 0.664 0.250
Ca12 0.013 0.025 0.417
Ca13 0.664 0.328 0.417
Ca14 0.377 0.689 0.083
Ca15 0.689 0.377 0.917
Ca16 0.311 0.689 0.750
Ca17 0.975 0.987 0.083
Ca18 0.672 0.336 0.083
C1 0.370 0.326 0.328
C2 0.000 0.306 0.833
C3 0.630 0.674 0.828
C4 0.326 0.370 0.672
C5 0.306 0.306 0.000
C6 0.694 0.694 0.500
C7 0.326 0.957 0.494
C8 0.630 0.957 0.339
C9 0.674 0.630 0.172
C10 0.674 0.043 0.994
C11 0.957 0.326 0.506
C12 0.306 0.000 0.167
C13 0.694 0.000 0.667
C14 0.043 0.674 0.006
C15 0.043 0.370 0.161
C16 0.370 0.043 0.839
C17 0.957 0.630 0.661
C18 0.000 0.694 0.333

=====

Which formula does entry 1 have? Ho2ZrGa2Rh5

=====

total energy of number 1 (Ho2ZrGa2Rh5)? -6.915 eV/atom

=====

Among the records above, which one has the highest total energy? Pr4Ho8Th